A plane-wave DFT calculation with PBE was carried out for an optimized crystal structure of V6CrGe.

a = 6.690 Å, b = 6.688 Å, c = 4.727 Å
α = 44.99°, β = 45.01°, γ = 60.01°
Sites, in units of the cell vectors:
V: 0.758 0.000 0.742
V: 0.000 0.500 0.258
V: 0.000 0.500 0.742
V: 0.500 0.242 0.258
V: 0.242 0.000 0.258
V: 0.500 0.758 0.742
Ge: 0.500 0.500 0.500
Cr: 0.000 0.000 0.000

Output
Symmetry: No. 200
Crystal system: cubic
E_tot: -8.80 eV/atom
Calculated density: 6.757 g/cm³
Formation enthalpy at 0 K: -182 meV/atom
Energy relative to the lowest polymorph listed for this composition: 0 meV/atom
Calculated volume: 13.2 Å³/atom